Here is a relaxed Na2Pb3 crystal from Alexandria via LeMat-Bulk. Energies are from PBE.

a = 7.4754 Å, b = 7.4754 Å, c = 7.4754 Å
α = 64.80°, β = 64.80°, γ = 64.80°
Positions (direct):
Na (0.0894, 0.0894, 0.0894)
Na (0.4106, 0.4106, 0.4106)
Na (0.5894, 0.5894, 0.5894)
Na (0.9106, 0.9106, 0.9106)
Pb (0.0193, 0.2500, 0.4807)
Pb (0.2500, 0.4807, 0.0193)
Pb (0.4807, 0.0193, 0.2500)
Pb (0.5193, 0.9807, 0.7500)
Pb (0.7500, 0.5193, 0.9807)
Pb (0.9807, 0.7500, 0.5193)

Results
The formation energy is 5.9 kJ/mol of atoms. Its symmetry is R-3c (167).

Here is a relaxed PuScPa2Sb4 crystal from Alexandria via LeMat-Bulk. Energies are from PBE.

a = 7.4506 Å, b = 4.3492 Å, c = 7.5690 Å
α = 90.00°, β = 109.56°, γ = 90.00°
Positions (direct):
Pu (0.0000, 0.0000, 0.0000)
Sc (0.0000, 0.5000, 0.5000)
Pa (0.5000, 0.0000, 0.5000)
Pa (0.5000, 0.5000, 0.0000)
Sb (0.2407, 0.0000, 0.7390)
Sb (0.2456, 0.5000, 0.2567)
Sb (0.7544, 0.5000, 0.7433)
Sb (0.7593, 0.0000, 0.2610)

Results
Its symmetry is P2/m (10). The uncorrected formation energy is -58.3 kJ per mole of atoms.

Here is a relaxed Y3Er2Al4 crystal from Alexandria via LeMat-Bulk. Energies are from PBE.

a = 5.1041 Å, b = 5.1041 Å, c = 9.6872 Å
α = 90.00°, β = 90.00°, γ = 120.00°
Positions (direct):
Y (0.0000, 0.0000, 0.0000)
Y (0.3333, 0.6667, 0.5824)
Y (0.6667, 0.3333, 0.4176)
Er (0.3333, 0.6667, 0.2177)
Er (0.6667, 0.3333, 0.7823)
Al (0.0000, 0.0000, 0.3508)
Al (0.0000, 0.0000, 0.6492)
Al (0.3333, 0.6667, 0.9011)
Al (0.6667, 0.3333, 0.0989)

Results
The formation energy is -33.9 kJ/mol of atoms. Its symmetry is P-3m1 (164).

Here is a relaxed Pr5NdHg2 crystal from Alexandria via LeMat-Bulk. Energies are from PBE.

a = 8.5153 Å, b = 8.5153 Å, c = 8.5153 Å
α = 154.08°, β = 100.76°, γ = 85.06°
Positions (direct):
Pr (0.0000, 0.0000, 0.0000)
Pr (0.0792, 0.3606, 0.7186)
Pr (0.3580, 0.6394, 0.7186)
Pr (0.6420, 0.3606, 0.2814)
Pr (0.9208, 0.6394, 0.2814)
Nd (0.5000, 0.0000, 0.5000)
Hg (0.2719, 0.2719, 0.0000)
Hg (0.7281, 0.7281, 0.0000)

Results
The formation energy is -15.7 kJ/mol of atoms. Its symmetry is Immm (71).

Here is a relaxed Ho2PdS crystal from Alexandria via LeMat-Bulk. Energies are from PBE.

a = 7.5490 Å, b = 7.5490 Å, c = 7.5490 Å
α = 29.46°, β = 29.46°, γ = 29.46°
Positions (direct):
Ho (0.0000, 0.0000, 0.0000)
Ho (0.1730, 0.1730, 0.1730)
Pd (0.5870, 0.5870, 0.5870)
S (0.4184, 0.4184, 0.4184)

Results
Its symmetry is R3m (160). The uncorrected formation energy is -122.0 kJ per mole of atoms.

Here is a relaxed SrAl3Sb crystal from Alexandria via LeMat-Bulk. Energies are from PBE.

a = 5.7665 Å, b = 5.7665 Å, c = 5.7665 Å
α = 90.00°, β = 90.00°, γ = 90.00°
Positions (direct):
Sr (0.0000, 0.0000, 0.0000)
Al (0.0000, 0.0000, 0.5000)
Al (0.0000, 0.5000, 0.0000)
Al (0.5000, 0.0000, 0.0000)
Sb (0.5000, 0.5000, 0.5000)

Results
Its symmetry is Pm-3m (221). The uncorrected formation energy is 127.2 kJ per mole of atoms.

Here is a relaxed LaMgAl3 crystal from Alexandria via LeMat-Bulk. Energies are from PBE.

a = 5.0216 Å, b = 5.0216 Å, c = 5.0216 Å
α = 90.00°, β = 90.00°, γ = 90.00°
Positions (direct):
La (0.0000, 0.0000, 0.0000)
Mg (0.5000, 0.5000, 0.5000)
Al (0.0000, 0.5000, 0.5000)
Al (0.5000, 0.0000, 0.5000)
Al (0.5000, 0.5000, 0.0000)

Results
The formation energy is 29.8 kJ/mol of atoms. Its symmetry is Pm-3m (221).

Here is a relaxed Nd4YHo15 crystal from Alexandria via LeMat-Bulk. Energies are from PBE.

a = 5.0385 Å, b = 5.0385 Å, c = 25.1087 Å
α = 90.00°, β = 90.00°, γ = 90.00°
Positions (direct):
Nd (0.0000, 0.0000, 0.1003)
Nd (0.0000, 0.0000, 0.3003)
Nd (0.0000, 0.0000, 0.6997)
Nd (0.0000, 0.0000, 0.8997)
Y (0.0000, 0.0000, 0.5000)
Ho (0.0000, 0.5000, 0.0000)
Ho (0.0000, 0.5000, 0.2004)
Ho (0.0000, 0.5000, 0.4008)
Ho (0.0000, 0.5000, 0.5992)
Ho (0.0000, 0.5000, 0.7996)
Ho (0.5000, 0.0000, 0.0000)
Ho (0.5000, 0.0000, 0.2004)
Ho (0.5000, 0.0000, 0.4008)
Ho (0.5000, 0.0000, 0.5992)
Ho (0.5000, 0.0000, 0.7996)
Ho (0.5000, 0.5000, 0.1001)
Ho (0.5000, 0.5000, 0.3007)
Ho (0.5000, 0.5000, 0.5000)
Ho (0.5000, 0.5000, 0.6993)
Ho (0.5000, 0.5000, 0.8999)

Results
The formation energy is 2.1 kJ/mol of atoms. Its symmetry is P4/mmm (123).

Here is a relaxed Rb2HgBSe4 crystal from Alexandria via LeMat-Bulk. Energies are from PBE.

a = 13.0237 Å, b = 11.4922 Å, c = 7.7514 Å
α = 82.73°, β = 61.08°, γ = 36.19°
Positions (direct):
Rb (0.0571, 0.0571, 0.6929)
Rb (0.3071, 0.3071, 0.9429)
Rb (0.6929, 0.6929, 0.0571)
Rb (0.9429, 0.9429, 0.3071)
Hg (0.1250, 0.1250, 0.1250)
Hg (0.8750, 0.8750, 0.8750)
B (0.3750, 0.3750, 0.3750)
B (0.6250, 0.6250, 0.6250)
Se (0.0470, 0.5948, 0.5342)
Se (0.3240, 0.5342, 0.5948)
Se (0.4052, 0.9530, 0.6760)
Se (0.4658, 0.6760, 0.9530)
Se (0.5342, 0.3240, 0.0470)
Se (0.5948, 0.0470, 0.3240)
Se (0.6760, 0.4658, 0.4052)
Se (0.9530, 0.4052, 0.4658)

Results
Its symmetry is Fddd (70). The uncorrected formation energy is -47.7 kJ per mole of atoms.

Here is a relaxed SmGaGe2O7 crystal from Alexandria via LeMat-Bulk. Energies are from PBE.

a = 7.2981 Å, b = 6.6505 Å, c = 12.9709 Å
α = 90.00°, β = 117.70°, γ = 90.00°
Positions (direct):
Sm (0.2403, 0.1460, 0.4740)
Sm (0.2403, 0.3540, 0.9740)
Sm (0.7597, 0.6460, 0.0260)
Sm (0.7597, 0.8540, 0.5260)
Ga (0.2127, 0.0990, 0.7310)
Ga (0.2127, 0.4010, 0.2310)
Ga (0.7873, 0.5990, 0.7690)
Ga (0.7873, 0.9010, 0.2690)
Ge (0.2159, 0.6587, 0.4568)
Ge (0.2159, 0.8413, 0.9568)
Ge (0.2997, 0.5879, 0.7210)
Ge (0.2997, 0.9121, 0.2210)
Ge (0.7003, 0.0879, 0.7790)
Ge (0.7003, 0.4121, 0.2790)
Ge (0.7841, 0.1587, 0.0432)
Ge (0.7841, 0.3413, 0.5432)
O (0.0110, 0.6601, 0.9225)
O (0.0110, 0.8399, 0.4225)
O (0.1508, 0.6896, 0.1859)
O (0.1508, 0.8104, 0.6859)
O (0.2112, 0.0522, 0.8733)
O (0.2112, 0.4478, 0.3733)
O (0.2186, 0.1114, 0.2799)
O (0.2186, 0.3886, 0.7799)
O (0.2555, 0.9996, 0.0778)
O (0.2555, 0.5004, 0.5778)
O (0.4097, 0.6714, 0.9796)
O (0.4097, 0.8286, 0.4796)
O (0.4296, 0.1221, 0.6909)
O (0.4296, 0.3779, 0.1909)
O (0.5704, 0.6221, 0.8091)
O (0.5704, 0.8779, 0.3091)
O (0.5903, 0.1714, 0.5204)
O (0.5903, 0.3286, 0.0204)
O (0.7445, 0.0004, 0.9222)
O (0.7445, 0.4996, 0.4222)
O (0.7814, 0.6114, 0.2201)
O (0.7814, 0.8886, 0.7201)
O (0.7888, 0.5522, 0.6267)
O (0.7888, 0.9478, 0.1267)
O (0.8492, 0.1896, 0.3141)
O (0.8492, 0.3104, 0.8141)
O (0.9890, 0.1601, 0.5775)
O (0.9890, 0.3399, 0.0775)

Results
Its symmetry is P2_1/c (14). The uncorrected formation energy is -207.9 kJ per mole of atoms.

Here is a relaxed InAgPd crystal from Alexandria via LeMat-Bulk. Energies are from PBE.

a = 4.6844 Å, b = 4.6844 Å, c = 5.7356 Å
α = 90.00°, β = 90.00°, γ = 120.00°
Positions (direct):
In (0.3333, 0.6667, 0.2500)
In (0.6667, 0.3333, 0.7500)
Ag (0.0000, 0.0000, 0.0000)
Ag (0.0000, 0.0000, 0.5000)
Pd (0.3333, 0.6667, 0.7500)
Pd (0.6667, 0.3333, 0.2500)

Results
The formation energy is -29.9 kJ/mol of atoms. Its symmetry is P6_3/mmc (194).

Here is a relaxed CsBaIrO6 crystal from Alexandria via LeMat-Bulk. Energies are from PBE.

a = 6.3543 Å, b = 6.3543 Å, c = 4.9521 Å
α = 90.00°, β = 90.00°, γ = 120.00°
Positions (direct):
Cs (0.0000, 0.0000, 0.0000)
Ba (0.6667, 0.3333, 0.5000)
Ir (0.3333, 0.6667, 0.0000)
O (0.0813, 0.4384, 0.2184)
O (0.0813, 0.6429, 0.7816)
O (0.3571, 0.4384, 0.7816)
O (0.3571, 0.9187, 0.2184)
O (0.5616, 0.6429, 0.2184)
O (0.5616, 0.9187, 0.7816)

Results
Its symmetry is P312 (149). The uncorrected formation energy is -102.4 kJ per mole of atoms.

Here is a relaxed CePRh2 crystal from Alexandria via LeMat-Bulk. Energies are from PBE.

a = 4.3990 Å, b = 4.3990 Å, c = 3.8692 Å
α = 92.64°, β = 92.64°, γ = 79.42°
Positions (direct):
Ce (0.0000, 0.0000, 0.0000)
P (0.5000, 0.5000, 0.0000)
Rh (0.2971, 0.2971, 0.4718)
Rh (0.7029, 0.7029, 0.5282)

Results
The formation energy is -65.1 kJ/mol of atoms. Its symmetry is C2/m (12).

Here is a relaxed Ho4ErBi crystal from Alexandria via LeMat-Bulk. Energies are from PBE.

a = 5.1707 Å, b = 5.1707 Å, c = 7.7818 Å
α = 90.00°, β = 90.00°, γ = 90.00°
Positions (direct):
Ho (0.0000, 0.5000, 0.2421)
Ho (0.0000, 0.5000, 0.7579)
Ho (0.5000, 0.0000, 0.2421)
Ho (0.5000, 0.0000, 0.7579)
Er (0.0000, 0.0000, 0.0000)
Bi (0.5000, 0.5000, 0.5000)

Results
The formation energy is 21.3 kJ/mol of atoms. Its symmetry is P4/mmm (123).

Here is a relaxed K2In5Ir crystal from Alexandria via LeMat-Bulk. Energies are from PBE.

a = 6.8475 Å, b = 6.8475 Å, c = 5.2886 Å
α = 90.00°, β = 90.00°, γ = 90.00°
Positions (direct):
K (0.0000, 0.5000, 0.0000)
K (0.5000, 0.0000, 0.0000)
In (0.0000, 0.0000, 0.0000)
In (0.2796, 0.2796, 0.5000)
In (0.2796, 0.7204, 0.5000)
In (0.7204, 0.2796, 0.5000)
In (0.7204, 0.7204, 0.5000)
Ir (0.0000, 0.0000, 0.5000)

Results
The formation energy is -3.2 kJ/mol of atoms. Its symmetry is P4/mmm (123).

Here is a relaxed Sm5Tl6Cd crystal from Alexandria via LeMat-Bulk. Energies are from PBE.

a = 9.4764 Å, b = 9.4764 Å, c = 9.4764 Å
α = 147.68°, β = 130.57°, γ = 60.30°
Positions (direct):
Sm (0.0000, 0.0000, 0.0000)
Sm (0.1763, 0.6763, 0.5000)
Sm (0.3586, 0.3586, 0.0000)
Sm (0.6414, 0.6414, 0.0000)
Sm (0.8237, 0.3237, 0.5000)
Tl (0.0747, 0.8315, 0.2431)
Tl (0.2291, 0.5000, 0.7291)
Tl (0.4116, 0.1685, 0.2431)
Tl (0.5884, 0.8315, 0.7569)
Tl (0.7709, 0.5000, 0.2709)
Tl (0.9253, 0.1685, 0.7569)
Cd (0.5000, 0.0000, 0.5000)

Results
The formation energy is -30.9 kJ/mol of atoms. Its symmetry is Immm (71).

Here is a relaxed AcPm3 crystal from Alexandria via LeMat-Bulk. Energies are from PBE.

a = 3.7799 Å, b = 6.0564 Å, c = 6.4599 Å
α = 90.00°, β = 90.00°, γ = 90.00°
Positions (direct):
Ac (0.0000, 0.0000, 0.0000)
Pm (0.0000, 0.5000, 0.6614)
Pm (0.5000, 0.0000, 0.4994)
Pm (0.5000, 0.5000, 0.1680)

Results
The formation energy is 4.8 kJ/mol of atoms. Its symmetry is Pmm2 (25).

Here is a relaxed YIn2Rh crystal from Alexandria via LeMat-Bulk. Energies are from PBE.

a = 3.3844 Å, b = 3.3844 Å, c = 7.4877 Å
α = 90.00°, β = 90.00°, γ = 90.00°
Positions (direct):
Y (0.0000, 0.0000, 0.0000)
In (0.5000, 0.5000, 0.2967)
In (0.5000, 0.5000, 0.7033)
Rh (0.0000, 0.0000, 0.5000)

Results
The formation energy is -40.6 kJ/mol of atoms. Its symmetry is P4/mmm (123).

Here is a relaxed TaRhW2 crystal from Alexandria via LeMat-Bulk. Energies are from PBE.

a = 2.7516 Å, b = 4.5992 Å, c = 5.1870 Å
α = 90.00°, β = 99.82°, γ = 90.00°
Positions (direct):
Ta (0.0000, 0.0000, 0.0000)
Rh (0.5000, 0.0000, 0.5000)
W (0.2457, 0.5000, 0.7545)
W (0.7543, 0.5000, 0.2455)

Results
The formation energy is -0.1 kJ/mol of atoms. Its symmetry is P2/m (10).

Here is a relaxed AsIr2Pb crystal from Alexandria via LeMat-Bulk. Energies are from PBE.

a = 4.7778 Å, b = 4.7778 Å, c = 3.1295 Å
α = 90.00°, β = 90.00°, γ = 99.67°
Positions (direct):
As (0.0000, 0.0000, 0.0000)
Ir (0.0000, 0.5000, 0.5000)
Ir (0.5000, 0.0000, 0.5000)
Pb (0.5000, 0.5000, 0.0000)

Results
The formation energy is 47.7 kJ/mol of atoms. Its symmetry is Cmmm (65).